[1]
VASP calculation (PBE) on an optimized crystal structure of RbPm2Sb.

Unit cell a=4.8215 b=5.1877 c=5.1877 alpha=90.00 beta=90.00 gamma=90.00
Sites, in units of the cell vectors:
Sb 0.5000 0.0000 0.0000
Pm 0.0000 0.0000 0.5000
Pm 0.0000 0.5000 0.0000
Rb 0.5000 0.5000 0.5000


[2]
VASP calculation (PBE) on an optimized crystal structure of Rb3PmSb2Se6.

Unit cell a=7.4642 b=7.4642 c=8.3715 alpha=98.55 beta=98.55 gamma=120.00
Sites, in units of the cell vectors:
Se 0.2718 0.2718 0.8025
Se 0.7282 0.7282 0.1975
Se 0.4035 0.0659 0.1974
Se 0.0659 0.4035 0.1974
Se 0.9341 0.5965 0.8026
Se 0.5965 0.9341 0.8026
Sb 0.6666 0.3334 0.0000
Sb 0.3334 0.6666 0.0000
Rb 0.1668 0.8332 0.5000
Rb 0.5000 0.5000 0.5000
Rb 0.8332 0.1668 0.5000
Pm 0.0000 0.0000 0.0000


[3]
VASP calculation (PBE) on an optimized crystal structure of Rb3Pm3SbSe8.

Unit cell a=8.5442 b=8.5442 c=9.5479 alpha=116.59 beta=90.00 gamma=120.00
Sites, in units of the cell vectors:
Se 0.2233 0.9687 0.6919
Se 0.7454 0.9687 0.6919
Se 0.2233 0.4467 0.6920
Se 0.2546 0.0313 0.3081
Se 0.2670 0.5340 0.3011
Se 0.7767 0.0313 0.3081
Se 0.7330 0.4660 0.6989
Se 0.7767 0.5533 0.3080
Sb 0.0000 0.0000 0.5000
Rb 0.0000 0.0000 0.0000
Rb 0.0000 0.5000 0.0000
Rb 0.5000 0.5000 0.0000
Pm 0.5000 0.0000 0.5000
Pm 0.5000 0.5000 0.5000
Pm 0.0000 0.5000 0.5000


[4]
VASP calculation (PBE) on an optimized crystal structure of Rb2PmSbTe4.

Unit cell a=9.5737 b=9.5737 c=9.5699 alpha=119.99 beta=119.99 gamma=90.05
Sites, in units of the cell vectors:
Pm 0.0000 0.5000 0.5000
Pm 0.0000 0.5000 0.0000
Rb 0.5000 0.0000 0.0000
Rb 0.5000 0.0000 0.5000
Rb 0.5000 0.5000 0.0000
Rb 0.0000 0.0000 0.5000
Te 0.7603 0.2965 0.5284
Te 0.2397 0.7035 0.4716
Te 0.7645 0.7354 0.9657
Te 0.2355 0.2646 0.0343
Te 0.7646 0.7355 0.5343
Te 0.2035 0.7397 0.9716
Te 0.2354 0.2646 0.4657
Te 0.7965 0.2603 0.0284
Sb 0.5000 0.5000 0.5000
Sb 0.0000 0.0000 0.0000


[5]
VASP calculation (PBE) on an optimized crystal structure of Rb3Pm2SbTe6.

Unit cell a=7.9922 b=7.9922 c=8.9440 alpha=98.57 beta=98.57 gamma=120.00
Sites, in units of the cell vectors:
Pm 0.6665 0.3335 0.0000
Pm 0.3335 0.6665 0.0000
Rb 0.8320 0.1680 0.5000
Rb 0.1680 0.8320 0.5000
Rb 0.5000 0.5000 0.5000
Te 0.9333 0.6063 0.7998
Te 0.6063 0.9333 0.7998
Te 0.0667 0.3937 0.2002
Te 0.2598 0.2598 0.7992
Te 0.3937 0.0667 0.2002
Te 0.7402 0.7402 0.2008
Sb 0.0000 0.0000 0.0000


[6]
VASP calculation (PBE) on an optimized crystal structure of RbPmScSe3.

Unit cell a=4.4621 b=9.3684 c=10.3924 alpha=108.22 beta=90.00 gamma=90.00
Sites, in units of the cell vectors:
Se 0.2500 0.7991 0.4509
Se 0.2500 0.1168 0.8621
Se 0.2500 0.5355 0.8425
Se 0.7500 0.8832 0.1379
Se 0.7500 0.4645 0.1575
Se 0.7500 0.2009 0.5491
Pm 0.7500 0.3370 0.8649
Pm 0.2500 0.6630 0.1351
Rb 0.7500 0.7935 0.7787
Rb 0.2500 0.2065 0.2213
Sc 0.2500 0.0884 0.6078
Sc 0.7500 0.9116 0.3922


[7]
VASP calculation (PBE) on an optimized crystal structure of Rb3PmSc2Se6.

Unit cell a=7.1853 b=7.1853 c=8.3163 alpha=98.31 beta=98.31 gamma=120.01
Sites, in units of the cell vectors:
Sc 0.6671 0.3329 0.0000
Sc 0.3329 0.6671 0.0000
Se 0.9363 0.5848 0.8092
Se 0.5848 0.9363 0.8092
Se 0.2882 0.2882 0.8105
Se 0.7118 0.7118 0.1895
Se 0.0637 0.4152 0.1908
Se 0.4152 0.0637 0.1908
Rb 0.8372 0.1628 0.5000
Rb 0.5000 0.5000 0.5000
Rb 0.1628 0.8372 0.5000
Pm 0.0000 0.0000 0.0000


[8]
VASP calculation (PBE) on an optimized crystal structure of Rb2PmScSe4.

Unit cell a=4.2045 b=7.2771 c=8.3352 alpha=106.91 beta=90.00 gamma=90.00
Sites, in units of the cell vectors:
Se 0.0000 0.2512 0.8037
Se 0.5000 0.2144 0.1892
Se 0.5000 0.7856 0.8108
Se 0.0000 0.7488 0.1963
Rb 0.0000 0.5000 0.5000
Rb 0.5000 0.0000 0.5000
Sc 0.0000 0.0000 0.0000
Pm 0.5000 0.5000 0.0000


[9]
VASP calculation (PBE) on an optimized crystal structure of Rb3Pm3ScTe8.

Unit cell a=8.9054 b=8.9051 c=10.2731 alpha=115.69 beta=90.00 gamma=120.00
Sites, in units of the cell vectors:
Te 0.7767 0.0277 0.3045
Te 0.2233 0.9723 0.6955
Te 0.7356 0.4712 0.7061
Te 0.2234 0.4469 0.6952
Te 0.7766 0.5531 0.3048
Te 0.7491 0.9723 0.6955
Te 0.2509 0.0277 0.3045
Te 0.2644 0.5288 0.2939
Rb 0.5000 0.5000 0.0000
Rb 0.0000 0.5000 0.0000
Rb 0.0000 0.0000 0.0000
Pm 0.5000 0.0000 0.5000
Pm 0.0000 0.5000 0.5000
Pm 0.5000 0.5000 0.5000
Sc 0.0000 0.0000 0.5000


[10]
VASP calculation (PBE) on an optimized crystal structure of Rb2PmScTe4.

Unit cell a=4.4856 b=7.7799 c=8.9176 alpha=106.87 beta=90.00 gamma=90.00
Sites, in units of the cell vectors:
Sc 0.0000 0.0000 0.0000
Rb 0.5000 0.0000 0.5000
Rb 0.0000 0.5000 0.5000
Te 0.5000 0.2159 0.1924
Te 0.0000 0.2510 0.8000
Te 0.5000 0.7841 0.8076
Te 0.0000 0.7490 0.2000
Pm 0.5000 0.5000 0.0000


[11]
VASP calculation (PBE) on an optimized crystal structure of Rb3PmSc2Te6.

Unit cell a=7.6891 b=7.6891 c=8.8961 alpha=98.31 beta=98.31 gamma=120.00
Sites, in units of the cell vectors:
Pm 0.0000 0.0000 0.0000
Te 0.7136 0.7136 0.1926
Te 0.0650 0.4155 0.1944
Te 0.4155 0.0650 0.1944
Te 0.9350 0.5845 0.8056
Te 0.5845 0.9350 0.8056
Te 0.2864 0.2864 0.8074
Rb 0.8384 0.1616 0.5000
Rb 0.5000 0.5000 0.5000
Rb 0.1616 0.8384 0.5000
Sc 0.3327 0.6673 0.0000
Sc 0.6673 0.3327 0.0000


[12]
VASP calculation (PBE) on an optimized crystal structure of Rb4Pm3ScTe8.

Unit cell a=9.1139 b=10.0447 c=9.1142 alpha=117.00 beta=120.00 gamma=90.00
Sites, in units of the cell vectors:
Te 0.2250 0.6978 0.9729
Te 0.7749 0.3021 0.5499
Te 0.7354 0.7061 0.4709
Te 0.2646 0.2939 0.5291
Te 0.7750 0.3022 0.0271
Te 0.7479 0.6978 0.9729
Te 0.2521 0.3022 0.0271
Te 0.2251 0.6979 0.4501
Rb 0.5000 0.0000 0.5000
Rb 0.0000 0.0000 0.5000
Rb 0.0000 0.0000 0.0000
Rb 0.5000 0.0000 0.0000
Pm 0.0000 0.5000 0.5000
Pm 0.5000 0.5000 0.0000
Pm 0.5000 0.5000 0.5000
Sc 0.0000 0.5000 0.0000


[13]
VASP calculation (PBE) on an optimized crystal structure of RbPm4Se6.

Results
The value obtained for the energy above the lowest structure with this stoichiometry is 271 meV/atom.

Unit cell a=7.7090 b=7.7090 c=7.7090 alpha=97.24 beta=115.91 gamma=115.91
Sites, in units of the cell vectors:
Se 0.5000 0.0000 0.5000
Se 0.7028 0.1677 0.1677
Se 0.0000 0.8323 0.5351
Se 0.0000 0.5351 0.8323
Se 0.5000 0.5000 0.0000
Se 0.2972 0.4649 0.4649
Pm 0.0000 0.2028 0.5878
Pm 0.6150 0.4122 0.4122
Pm 0.0000 0.5878 0.2028
Pm 0.3850 0.7972 0.7972
Rb 0.0000 0.0000 0.0000


[14]
VASP calculation (PBE) on an optimized crystal structure of RbPm4Se6.

Results
The value obtained for the energy above the lowest structure with this stoichiometry is 0 meV/atom.

Unit cell a=4.2468 b=7.3761 c=22.4069 alpha=90.00 beta=90.00 gamma=106.73
Sites, in units of the cell vectors:
Se 0.6601 0.3201 0.7500
Se 0.7709 0.5419 0.4202
Se 0.0359 0.0718 0.3474
Se 0.7709 0.5419 0.0798
Se 0.5000 0.0000 0.5000
Se 0.3399 0.6799 0.2500
Se 0.9641 0.9282 0.8474
Se 0.2291 0.4581 0.9202
Se 0.0359 0.0718 0.1526
Se 0.9641 0.9282 0.6526
Se 0.2291 0.4581 0.5798
Se 0.5000 0.0000 0.0000
Pm 0.8683 0.7365 0.5412
Pm 0.1317 0.2635 0.4588
Pm 0.8683 0.7365 0.9588
Pm 0.4008 0.8016 0.1325
Pm 0.1317 0.2635 0.0412
Pm 0.5992 0.1984 0.6325
Pm 0.5992 0.1984 0.8675
Pm 0.4008 0.8016 0.3675
Rb 0.3462 0.6925 0.7500
Rb 0.6538 0.3075 0.2500


[15]
VASP calculation (PBE) on an optimized crystal structure of RbPm3Se4.

Unit cell a=4.2664 b=4.2664 c=29.6773 alpha=90.00 beta=90.00 gamma=120.00
Sites, in units of the cell vectors:
Se 0.3333 0.6667 0.4429
Se 0.0000 0.0000 0.6686
Se 0.0000 0.0000 0.8314
Se 0.0000 0.0000 0.1686
Se 0.6667 0.3333 0.5571
Se 0.3333 0.6667 0.0571
Se 0.6667 0.3333 0.9429
Se 0.0000 0.0000 0.3314
Pm 0.3333 0.6667 0.6140
Pm 0.0000 0.0000 0.5000
Pm 0.6667 0.3333 0.1140
Pm 0.6667 0.3333 0.3860
Pm 0.3333 0.6667 0.8860
Pm 0.0000 0.0000 0.0000
Rb 0.3333 0.6667 0.2500
Rb 0.6667 0.3333 0.7500


[16]
VASP calculation (PBE) on an optimized crystal structure of RbPmSe.

Unit cell a=6.7655 b=11.5617 c=11.5617 alpha=57.67 beta=72.99 gamma=72.99
Each line ends with the local moment (μB).
Sites, in units of the cell vectors:
Rb 0.5972 0.5685 0.0685  0.01
Rb 0.0345 0.6603 0.1603  0.02
Rb 0.3207 0.9430 0.4430  0.01
Rb 0.8551 0.3397 0.8397  0.02
Rb 0.2341 0.4315 0.9315  0.01
Rb 0.7067 0.0570 0.5570  0.01
Se 0.8536 0.3668 0.3419  0.01
Se 0.8536 0.8419 0.8668  0.01
Se 0.5623 0.1581 0.1332  0.01
Se 0.5623 0.6332 0.6581  0.01
Se 0.3511 0.7651 0.2651  0.00
Se 0.3813 0.2349 0.7349  0.00
Pm 0.5521 0.5000 0.5000  0.12
Pm 0.9728 0.6685 0.4895  0.22
Pm 0.9728 0.9895 0.1685  0.22
Pm 0.1309 0.0105 0.8315  0.22
Pm 0.1309 0.3315 0.5105  0.22
Pm 0.5521 0.0000 0.0000  0.12


[17]
VASP calculation (PBE) on an optimized crystal structure of RbPmSiSe4.

Unit cell a=6.7857 b=7.0101 c=9.5062 alpha=90.00 beta=108.02 gamma=90.00
Sites, in units of the cell vectors:
Rb 0.7386 0.7500 0.9368
Rb 0.2614 0.2500 0.0632
Se 0.5859 0.2500 0.4298
Se 0.0082 0.9956 0.7111
Se 0.4141 0.7500 0.5702
Se 0.0082 0.5044 0.7111
Se 0.9918 0.0044 0.2889
Se 0.9918 0.4956 0.2889
Se 0.4114 0.7500 0.1729
Se 0.5886 0.2500 0.8271
Si 0.2159 0.7500 0.3278
Si 0.7841 0.2500 0.6722
Pm 0.7703 0.7500 0.4501
Pm 0.2297 0.2500 0.5499


[18]
VASP calculation (PBE) on an optimized crystal structure of RbPmSm4Se8.

Unit cell a=8.7972 b=8.7972 c=8.8214 alpha=60.09 beta=60.09 gamma=60.00
Sites, in units of the cell vectors:
Se 0.2337 0.8015 0.7311
Se 0.7568 0.2285 0.2579
Se 0.7573 0.7573 0.7282
Se 0.8015 0.2337 0.7311
Se 0.7568 0.7568 0.2579
Se 0.2285 0.7568 0.2579
Se 0.2337 0.2337 0.7311
Se 0.2323 0.2323 0.3030
Sm 0.0043 0.0043 0.5045
Sm 0.0043 0.4869 0.5045
Sm 0.6252 0.6252 0.1245
Sm 0.4869 0.0043 0.5045
Rb 0.3741 0.3741 0.8778
Pm 0.0046 0.0046 0.9863


[19]
VASP calculation (PBE) on an optimized crystal structure of Rb4Pm3SmSe8.

Unit cell a=8.6876 b=9.4585 c=8.6874 alpha=117.36 beta=120.00 gamma=90.00
Sites, in units of the cell vectors:
Rb 0.0000 0.0000 0.5000
Rb 0.5000 0.0000 0.0000
Rb 0.5000 0.0000 0.5000
Rb 0.0000 0.0000 0.0000
Se 0.7673 0.3005 0.0331
Se 0.7343 0.6995 0.9669
Se 0.2327 0.6995 0.4653
Se 0.7673 0.3005 0.5347
Se 0.2657 0.3005 0.0331
Se 0.2327 0.6995 0.9669
Se 0.2666 0.3000 0.5333
Se 0.7334 0.7000 0.4667
Sm 0.0000 0.5000 0.0000
Pm 0.5000 0.5000 0.5000
Pm 0.5000 0.5000 0.0000
Pm 0.0000 0.5000 0.5000


| no. | raw total energy (eV/atom) | ΔE_f (raw) (meV per atom) |
| --- | --- | --- |
| 1 | -3.7381 | -90 |
| 2 | -4.0965 | -1029 |
| 3 | -4.6876 | -1411 |
| 4 | -3.8429 | -921 |
| 5 | -4.0535 | -1105 |
| 6 | -5.3261 | -1575 |
| 7 | -5.0628 | -1628 |
| 8 | -5.0150 | -1646 |
| 9 | -4.5276 | -1286 |
| 10 | -4.5059 | -1308 |
| 11 | -4.5489 | -1285 |
| 12 | -4.4536 | -1354 |
| 13 | -5.2315 | -1515 |
| 14 | -5.5028 | -1787 |
| 15 | -5.4247 | -1780 |
| 16 | -3.8179 | -750 |
| 17 | -4.8312 | -1248 |
| 18 | -5.4793 | -1731 |
| 19 | -4.9089 | -1739 |